#a
# Tl2SbAu, relaxed, DFT GGA-PBE
# * SG: I4/mmm (139)
# * DOS at the Fermi energy: 1.571 states/eV/cell
data_Tl2SbAu
_chemical_formula_sum 'Tl2 Sb1 Au1'
_cell_length_a 6.2029
_cell_length_b 6.2029
_cell_length_c 6.2029
_cell_angle_alpha 137.92
_cell_angle_beta 137.92
_cell_angle_gamma 61.02
_symmetry_space_group_name_H-M 'P 1'
_symmetry_Int_Tables_number 1
_symmetry_space_group_name_Hall 'P 1'
loop_
_atom_site_label
_atom_site_type_symbol
_atom_site_fract_x
_atom_site_fract_y
_atom_site_fract_z
_atom_site_occupancy
Tl1 Tl 0.2500 0.7500 0.5000 1
Tl2 Tl 0.7500 0.2500 0.5000 1
Sb1 Sb 0.0000 0.0000 0.0000 1
Au1 Au 0.5000 0.5000 0.0000 1

#b
# Tl2SbAu, relaxed, DFT GGA-PBE
# * SG: P4/mmm (123)
# * DOS at the Fermi energy: 2.100 states/eV/cell
data_Tl2SbAu
_chemical_formula_sum 'Tl2 Sb1 Au1'
_cell_length_a 5.5592
_cell_length_b 5.5592
_cell_length_c 3.4839
_cell_angle_alpha 90.00
_cell_angle_beta 90.00
_cell_angle_gamma 90.00
_symmetry_space_group_name_H-M 'P 1'
_symmetry_Int_Tables_number 1
_symmetry_space_group_name_Hall 'P 1'
loop_
_atom_site_label
_atom_site_type_symbol
_atom_site_fract_x
_atom_site_fract_y
_atom_site_fract_z
_atom_site_occupancy
Tl1 Tl 0.0000 0.5000 0.0000 1
Tl2 Tl 0.5000 0.0000 0.0000 1
Sb1 Sb 0.0000 0.0000 0.5000 1
Au1 Au 0.5000 0.5000 0.5000 1

Energies, relative to the best one, in eV/atom: #a 0.000; #b 0.027.

#a
# Tl2SbAu, relaxed, DFT GGA-PBE
# * SG: R-3m (166)
# * DOS at the Fermi energy: 2.361 states/eV/cell
data_Tl2SbAu
_chemical_formula_sum 'Tl2 Sb1 Au1'
_cell_length_a 10.2691
_cell_length_b 10.2691
_cell_length_c 10.2691
_cell_angle_alpha 19.74
_cell_angle_beta 19.74
_cell_angle_gamma 19.74
_symmetry_space_group_name_H-M 'P 1'
_symmetry_Int_Tables_number 1
_symmetry_space_group_name_Hall 'P 1'
loop_
_atom_site_label
_atom_site_type_symbol
_atom_site_fract_x
_atom_site_fract_y
_atom_site_fract_z
_atom_site_occupancy
Tl1 Tl 0.2408 0.2408 0.2408 1
Tl2 Tl 0.7592 0.7592 0.7592 1
Sb1 Sb 0.0000 0.0000 0.0000 1
Au1 Au 0.5000 0.5000 0.5000 1

#b
# Tl2SbAu, relaxed, DFT GGA-PBE
# * SG: C2/m (12)
# * DOS at the Fermi energy: 1.154 states/eV/cell
data_Tl2SbAu
_chemical_formula_sum 'Tl2 Sb1 Au1'
_cell_length_a 7.7325
_cell_length_b 7.7325
_cell_length_c 4.2909
_cell_angle_alpha 106.01
_cell_angle_beta 106.01
_cell_angle_gamma 28.64
_symmetry_space_group_name_H-M 'P 1'
_symmetry_Int_Tables_number 1
_symmetry_space_group_name_Hall 'P 1'
loop_
_atom_site_label
_atom_site_type_symbol
_atom_site_fract_x
_atom_site_fract_y
_atom_site_fract_z
_atom_site_occupancy
Tl1 Tl 0.1795 0.1795 0.1798 1
Tl2 Tl 0.8205 0.8205 0.8202 1
Sb1 Sb 0.0000 0.0000 0.5000 1
Au1 Au 0.5000 0.5000 0.0000 1

Energies, relative to the best one, in eV/atom: #a 0.136; #b 0.000.

#a
# Tl2SbAu, relaxed, DFT GGA-PBE
# * SG: Cmmm (65)
# * DOS at the Fermi energy: 1.562 states/eV/cell
data_Tl2SbAu
_chemical_formula_sum 'Tl2 Sb1 Au1'
_cell_length_a 6.3183
_cell_length_b 6.3183
_cell_length_c 3.2128
_cell_angle_alpha 90.00
_cell_angle_beta 90.00
_cell_angle_gamma 122.06
_symmetry_space_group_name_H-M 'P 1'
_symmetry_Int_Tables_number 1
_symmetry_space_group_name_Hall 'P 1'
loop_
_atom_site_label
_atom_site_type_symbol
_atom_site_fract_x
_atom_site_fract_y
_atom_site_fract_z
_atom_site_occupancy
Tl1 Tl 0.0000 0.5000 0.0000 1
Tl2 Tl 0.5000 0.0000 0.0000 1
Sb1 Sb 0.0000 0.0000 0.5000 1
Au1 Au 0.5000 0.5000 0.5000 1

#b
# Tl2SbAu, relaxed, DFT GGA-PBE
# * SG: P4/mmm (123)
# * DOS at the Fermi energy: 1.343 states/eV/cell
data_Tl2SbAu
_chemical_formula_sum 'Tl2 Sb1 Au1'
_cell_length_a 3.4037
_cell_length_b 3.4037
_cell_length_c 9.2246
_cell_angle_alpha 90.00
_cell_angle_beta 90.00
_cell_angle_gamma 90.00
_symmetry_space_group_name_H-M 'P 1'
_symmetry_Int_Tables_number 1
_symmetry_space_group_name_Hall 'P 1'
loop_
_atom_site_label
_atom_site_type_symbol
_atom_site_fract_x
_atom_site_fract_y
_atom_site_fract_z
_atom_site_occupancy
Tl1 Tl 0.0000 0.0000 0.2175 1
Tl2 Tl 0.0000 0.0000 0.7825 1
Sb1 Sb 0.5000 0.5000 0.5000 1
Au1 Au 0.5000 0.5000 0.0000 1

#c
# Tl2SbAu, relaxed, DFT GGA-PBE
# * SG: P4/mmm (123)
# * DOS at the Fermi energy: 0.811 states/eV/cell
data_Tl2SbAu
_chemical_formula_sum 'Tl2 Sb1 Au1'
_cell_length_a 4.4095
_cell_length_b 4.4095
_cell_length_c 5.4589
_cell_angle_alpha 90.00
_cell_angle_beta 90.00
_cell_angle_gamma 90.00
_symmetry_space_group_name_H-M 'P 1'
_symmetry_Int_Tables_number 1
_symmetry_space_group_name_Hall 'P 1'
loop_
_atom_site_label
_atom_site_type_symbol
_atom_site_fract_x
_atom_site_fract_y
_atom_site_fract_z
_atom_site_occupancy
Tl1 Tl 0.0000 0.5000 0.0000 1
Tl2 Tl 0.5000 0.0000 0.0000 1
Sb1 Sb 0.0000 0.0000 0.5000 1
Au1 Au 0.5000 0.5000 0.5000 1

Energies, relative to the best one, in eV/atom: #a 0.028; #b 0.000; #c 0.005.